BaMg2Sb2 | SCAN | PBEsol geometry

The calculation puts the final energy at -25.6674 eV per atom. The formation energy (no corrections) comes out at -864 meV per atom. Its volume is 159.12 Å³/f.u.

The space group is P-3m1 (No. 164) and the conventional cell measures 4.7678, 4.7678 and 8.0830 Å, with angles of 90.00, 90.00 and 120.00 degrees. The inequivalent atoms are Ba at (0.0000, 0.0000, 0.0000), Mg at (0.3333, 0.6667, 0.6246) and Sb at (0.3333, 0.6667, 0.2656).